Record 1
LaSmGePd | PBE | optimized geometry

Polymorph energy (0 for the lowest one) (eV per formula unit): 0.40
Electronic total energy (eV/cell): -89.7
Size of the total moment (μB per formula unit): 0.00
Formation energy (eV per atom): -0.743

a = 7.3506 Å, b = 7.3506 Å, c = 7.3506 Å
α = 90.00°, β = 90.00°, γ = 90.00°
Closest atoms and distances in Å follow each position.
Space group F-43m (No. 216)
Symmetry-distinct sites (fractional):
La  0.0000  0.0000  0.0000  4 Pd 3.18, 4 Ge 3.18
Sm  0.0000  0.0000  0.5000  4 Ge 3.18, 4 Pd 3.18
Ge  0.2500  0.2500  0.7500  4 La 3.18, 4 Sm 3.18
Pd  0.2500  0.2500  0.2500  4 Sm 3.18, 4 La 3.18

---

Record 2
La2Sn4GePd3 | PBE | optimized geometry

Electronic total energy (eV/cell): -53.1
Size of the total moment (μB per formula unit): 0.00
Formation energy (eV per atom): -0.707

a = 4.6930 Å, b = 4.6930 Å, c = 10.7259 Å
α = 90.00°, β = 90.00°, γ = 90.00°
Closest atoms and distances in Å follow each position.
Space group P-4m2 (No. 115)
Symmetry-distinct sites (fractional):
La  0.0000  0.5000  0.2460  2 Ge 3.53, 6 Pd 3.53-3.59, 8 Sn 3.53-3.60
Sn  0.0000  0.0000  0.5000  4 Pd 2.70
Sn  0.0000  0.5000  0.8670  3 Pd 2.59-2.75, 2 Ge 2.75
Sn  0.5000  0.5000  0.5000  4 Pd 2.70
Ge  0.5000  0.5000  0.0000  4 Sn 2.75
Pd  0.0000  0.0000  0.0000  4 Sn 2.75
Pd  0.0000  0.5000  0.6254  5 Sn 2.59-2.70

---

Record 3
La2SnGe4Pd3 | PBE | optimized geometry

Electronic total energy (eV/cell): -55.4
Size of the total moment (μB per formula unit): 0.00
Formation energy (eV per atom): -0.748

a = 4.3993 Å, b = 4.3993 Å, c = 10.7762 Å
α = 90.00°, β = 90.00°, γ = 90.00°
Closest atoms and distances in Å follow each position.
Space group P-4m2 (No. 115)
Symmetry-distinct sites (fractional):
La  0.0000  0.5000  0.2349  8 Ge 3.34-3.35, 6 Pd 3.35-3.61, 2 Sn 3.61
Sn  0.0000  0.0000  0.5000  4 Ge 2.75
Ge  0.0000  0.0000  0.0000  4 Pd 2.55
Ge  0.0000  0.5000  0.6528  1 Pd 2.45
Ge  0.5000  0.5000  0.0000  4 Pd 2.55
Pd  0.0000  0.5000  0.8801  5 Ge 2.45-2.55
Pd  0.5000  0.5000  0.5000  4 Ge 2.75

---

Record 4
LaSn2Ge2Pd7 | PBE | optimized geometry

Electronic total energy (eV/cell): -127.4
Size of the total moment (μB per formula unit): 0.00
Formation energy (eV per atom): -0.433

a = 5.9703 Å, b = 5.6963 Å, c = 13.9204 Å
α = 90.00°, β = 99.75°, γ = 90.00°
Closest atoms and distances in Å follow each position.
Space group C2/m (No. 12)
Symmetry-distinct sites (fractional):
La  0.0000  0.0000  0.0000  12 Pd 2.85-3.03
Sn  0.0901  0.0000  0.3738  4 Pd 2.70-3.02
Ge  0.0961  0.5000  0.2649  5 Pd 2.44-2.52
Pd  0.0000  0.5000  0.0000  4 La 2.85-2.99, 8 Pd 3.02-3.04
Pd  0.1713  0.5000  0.4431  1 Ge 2.44, 1 Sn 2.70
Pd  0.1878  0.2479  0.8381  2 Ge 2.48-2.52

---

Number 1: DOS(E_F) 7.4 states/eV per cell. Number 2: DOS(E_F) 4.8 states/eV per cell. Number 3: DOS(E_F) 2.7 states/eV per cell. Number 4: DOS(E_F) 6.8 states/eV per cell.